# VAsPb3

VAsPb3 after structural relaxation (GGA-PBE, the Alexandria database).

```
VAsPb3
1.0
-1.908 -3.968 2.970
0.593 -3.342 -4.084
4.921 -1.135 1.644
Pb As V
3 1 1
Direct
0.000 0.500 0.000 Pb
0.000 0.000 0.500 Pb
0.500 0.000 0.000 Pb
0.500 0.500 0.500 As
0.000 0.000 0.000 V
```

Summary:
* SG: No. 221
* calculated formation energy: 596 meV/atom
* total moment: 3.13 μB per formula unit
* energy above the lowest structure with this stoichiometry: 0.000 eV per atom